Entry 1:
Compound: PuReTc
Source: OQMD via LeMat-Bulk
Functional: PBE
Structure: relaxed

Results
symmetry: F-43m, No. 216
formation energy from the elements: 82 kJ/mol of atoms

a b c (Å): 4.320 4.320 4.320
angles (deg): 60.00 60.00 60.00
Positions (direct):
Pu (0.000, 0.000, 0.000)
Re (0.750, 0.750, 0.750)
Tc (0.250, 0.250, 0.250)

Entry 2:
Compound: PuReTe
Source: OQMD via LeMat-Bulk
Functional: PBE
Structure: relaxed

Results
symmetry: F-43m, No. 216

a b c (Å): 4.645 4.645 4.645
angles (deg): 60.00 60.00 60.00
Positions (direct):
Pu (0.000, 0.000, 0.000)
Re (0.750, 0.750, 0.750)
Te (0.500, 0.500, 0.500)

Number 1: VASP energy -34.4 eV per cell. Number 2: VASP energy -29.1 eV per cell.